Entry 1:
Below is Zn2SiH at its PBEsol-relaxed geometry, with properties calculated at the meta-GGA SCAN level.

Results
The space group is I-42d. For the total energy, the calculation gives -9.716 eV/atom.

Unit cell a=6.310 b=6.310 c=6.310 alpha=138.21 beta=138.21 gamma=60.58
Fractional coordinates of all 8 atoms:
Zn 0.004 0.625 0.879
Zn 0.375 0.254 0.379
Zn 0.746 0.125 0.121
Zn 0.875 0.996 0.621
Si 0.250 0.750 0.500
Si 0.500 0.500 0.000
H 0.000 0.000 0.000
H 0.750 0.250 0.500

=====

Entry 2:
Below is YSc2 at its PBEsol-relaxed geometry, with properties calculated at the meta-GGA SCAN level.

Results
The space group is Cmcm. The value obtained for the formation energy is 0.30 eV/f.u. The energy above the most stable polymorph in this dataset comes out at 0.054 eV per atom. For the total energy, the calculation gives -18.672 eV/atom.

Unit cell a=7.397 b=7.397 c=4.721 alpha=90.00 beta=90.00 gamma=143.40
Fractional coordinates of all 6 atoms:
Y 0.085 0.915 0.750
Y 0.915 0.085 0.250
Sc 0.249 0.751 0.250
Sc 0.413 0.587 0.750
Sc 0.587 0.413 0.250
Sc 0.751 0.249 0.750

=====

Entry 3:
Below is HgPOs2 at its PBEsol-relaxed geometry, with properties calculated at the meta-GGA SCAN level.

Results
The space group is Cmm2. The value obtained for the formation energy is 2.77 eV/f.u. For the total energy, the calculation gives -54.888 eV/atom.

Unit cell a=2.736 b=2.736 c=10.344 alpha=90.00 beta=90.00 gamma=118.88
Fractional coordinates of all 4 atoms:
Hg 0.000 0.000 0.000
P 0.500 0.500 0.333
Os 0.000 0.000 0.520
Os 0.500 0.500 0.739

=====

Entry 4:
Below is Pd2AuN at its PBEsol-relaxed geometry, with properties calculated at the meta-GGA SCAN level.

Results
The space group is I-42d. As for the uncorrected formation energy: 13.71 kcal/mol of atoms. For the total energy, the calculation gives -35.405 eV/atom.

Unit cell a=6.473 b=6.473 c=6.473 alpha=134.28 beta=134.28 gamma=66.65
Fractional coordinates of all 8 atoms:
Pd 0.375 0.232 0.357
Pd 0.768 0.125 0.143
Pd 0.875 0.018 0.643
Pd 0.982 0.625 0.857
Au 0.250 0.750 0.500
Au 0.500 0.500 0.000
N 0.000 0.000 0.000
N 0.750 0.250 0.500

=====

Entry 5:
Below is Mg6Ni16As7 at its PBEsol-relaxed geometry, with properties calculated at the meta-GGA SCAN level.

Results
The space group is Fm-3m. The value obtained for the formation energy is -11.64 eV/f.u. For the total energy, the calculation gives -15.227 eV/atom.

Unit cell a=8.049 b=8.049 c=8.049 alpha=60.00 beta=60.00 gamma=60.00
Fractional coordinates of all 29 atoms:
Mg 0.201 0.201 0.799
Mg 0.201 0.799 0.201
Mg 0.201 0.799 0.799
Mg 0.799 0.201 0.201
Mg 0.799 0.201 0.799
Mg 0.799 0.799 0.201
Ni 0.145 0.618 0.618
Ni 0.168 0.168 0.168
Ni 0.168 0.168 0.497
Ni 0.168 0.497 0.168
Ni 0.382 0.382 0.382
Ni 0.382 0.382 0.855
Ni 0.382 0.855 0.382
Ni 0.497 0.168 0.168
Ni 0.503 0.832 0.832
Ni 0.618 0.145 0.618
Ni 0.618 0.618 0.145
Ni 0.618 0.618 0.618
Ni 0.832 0.503 0.832
Ni 0.832 0.832 0.503
Ni 0.832 0.832 0.832
Ni 0.855 0.382 0.382
As 0.000 0.000 0.500
As 0.000 0.500 0.000
As 0.000 0.500 0.500
As 0.500 0.000 0.000
As 0.500 0.000 0.500
As 0.500 0.500 0.000
As 0.500 0.500 0.500

=====

Entry 6:
Below is Ta2SiTe at its PBEsol-relaxed geometry, with properties calculated at the meta-GGA SCAN level.

Results
The space group is I-4m2. As for the uncorrected formation energy: 8.15 kcal/mol of atoms. The energy above the most stable polymorph in this dataset comes out at 0.302 eV per atom. For the total energy, the calculation gives -44.755 eV/atom.

Unit cell a=5.092 b=5.092 c=5.092 alpha=132.39 beta=132.39 gamma=69.61
Fractional coordinates of all 4 atoms:
Ta 0.000 0.000 0.000
Ta 0.750 0.250 0.500
Si 0.250 0.750 0.500
Te 0.500 0.500 0.000

=====

Entry 7:
Below is AlZn7 at its PBEsol-relaxed geometry, with properties calculated at the meta-GGA SCAN level.

Results
The space group is Fm-3m. The value obtained for the formation energy is 0.20 eV/f.u. For the total energy, the calculation gives -12.770 eV/atom.

Unit cell a=5.473 b=5.473 c=5.473 alpha=60.00 beta=60.00 gamma=60.00
Fractional coordinates of all 8 atoms:
Al 0.000 0.000 0.000
Zn 0.000 0.000 0.500
Zn 0.000 0.500 0.000
Zn 0.000 0.500 0.500
Zn 0.500 0.000 0.000
Zn 0.500 0.000 0.500
Zn 0.500 0.500 0.000
Zn 0.500 0.500 0.500

=====

Entry 8:
Below is Ca2SnS4 at its PBEsol-relaxed geometry, with properties calculated at the meta-GGA SCAN level.

Results
The space group is I-4. As for the uncorrected formation energy: -30.90 kcal/mol of atoms. The energy above the most stable polymorph in this dataset comes out at 0.235 eV per atom. For the total energy, the calculation gives -14.734 eV/atom.

Unit cell a=7.439 b=7.439 c=7.439 alpha=133.98 beta=133.98 gamma=67.12
Fractional coordinates of all 7 atoms:
Ca 0.000 0.000 0.000
Ca 0.750 0.250 0.500
Sn 0.500 0.500 0.000
S 0.167 0.621 0.030
S 0.379 0.409 0.546
S 0.591 0.136 0.970
S 0.864 0.833 0.454

=====

Entry 9:
Below is LaBiN2 at its PBEsol-relaxed geometry, with properties calculated at the meta-GGA SCAN level.

Results
The space group is I-42d. As for the uncorrected formation energy: -6.27 kcal/mol of atoms. For the total energy, the calculation gives -35.339 eV/atom.

Unit cell a=6.922 b=6.922 c=6.922 alpha=133.99 beta=133.99 gamma=67.10
Fractional coordinates of all 8 atoms:
La 0.000 0.000 0.000
La 0.750 0.250 0.500
Bi 0.250 0.750 0.500
Bi 0.500 0.500 0.000
N 0.127 0.625 0.002
N 0.375 0.377 0.502
N 0.623 0.125 0.998
N 0.875 0.873 0.498

=====

Entry 10:
Below is Sr2TiMnO6 at its PBEsol-relaxed geometry, with properties calculated at the meta-GGA SCAN level.

Results
The space group is Pm-3m. As for the uncorrected formation energy: -71.02 kcal/mol of atoms. The energy above the most stable polymorph in this dataset comes out at 0.018 eV per atom. For the total energy, the calculation gives -14.702 eV/atom.

Unit cell a=7.681 b=7.681 c=7.681 alpha=90.00 beta=90.00 gamma=90.00
Fractional coordinates of all 40 atoms:
Sr 0.247 0.247 0.247
Sr 0.247 0.247 0.753
Sr 0.247 0.753 0.247
Sr 0.247 0.753 0.753
Sr 0.753 0.247 0.247
Sr 0.753 0.247 0.753
Sr 0.753 0.753 0.247
Sr 0.753 0.753 0.753
Ti 0.000 0.500 0.500
Ti 0.500 0.000 0.500
Ti 0.500 0.500 0.000
Ti 0.500 0.500 0.500
Mn 0.000 0.000 0.000
Mn 0.000 0.000 0.500
Mn 0.000 0.500 0.000
Mn 0.500 0.000 0.000
O 0.000 0.000 0.249
O 0.000 0.000 0.751
O 0.000 0.245 0.500
O 0.000 0.249 0.000
O 0.000 0.500 0.245
O 0.000 0.500 0.755
O 0.000 0.751 0.000
O 0.000 0.755 0.500
O 0.245 0.000 0.500
O 0.245 0.500 0.000
O 0.249 0.000 0.000
O 0.249 0.500 0.500
O 0.500 0.000 0.245
O 0.500 0.000 0.755
O 0.500 0.245 0.000
O 0.500 0.249 0.500
O 0.500 0.500 0.249
O 0.500 0.500 0.751
O 0.500 0.751 0.500
O 0.500 0.755 0.000
O 0.751 0.000 0.000
O 0.751 0.500 0.500
O 0.755 0.000 0.500
O 0.755 0.500 0.000

=====

Entry 11:
Below is Sc2BiAu at its PBEsol-relaxed geometry, with properties calculated at the meta-GGA SCAN level.

Results
The space group is R-3m. The value obtained for the formation energy is -1.45 eV/f.u. For the total energy, the calculation gives -44.415 eV/atom.

Unit cell a=9.569 b=9.569 c=9.569 alpha=21.72 beta=21.72 gamma=21.72
Fractional coordinates of all 4 atoms:
Sc 0.105 0.105 0.105
Sc 0.895 0.895 0.895
Bi 0.000 0.000 0.000
Au 0.500 0.500 0.500

=====

Entry 12:
Below is ReTc at its PBEsol-relaxed geometry, with properties calculated at the meta-GGA SCAN level.

Results
The space group is I4_1/amd. The value obtained for the formation energy is 0.08 eV/f.u. The energy above the most stable polymorph in this dataset comes out at 0.052 eV per atom. For the total energy, the calculation gives -53.039 eV/atom.

Unit cell a=4.722 b=4.722 c=4.722 alpha=131.78 beta=131.78 gamma=70.57
Fractional coordinates of all 4 atoms:
Re 0.375 0.625 0.750
Re 0.625 0.375 0.250
Tc 0.125 0.875 0.250
Tc 0.875 0.125 0.750